No. 1
Entry from the Alexandria database: an optimized crystal structure of Ho2RuRh (PBE).

The structure in POSCAR format:
```
Ho2RuRh
1.0
-2.396 2.396 3.405
2.396 -2.396 3.405
2.396 2.396 -3.405
Ho Ru Rh
2 1 1
Cartesian
2.396 0.000 1.702 Ho
0.000 2.396 1.702 Ho
0.000 0.000 0.000 Ru
0.000 0.000 3.405 Rh
```

Properties
Fermi-level density of states = 2.24 states/eV/f.u.
Crystal system = tetragonal
V = 78 Å³/f.u.
Space-group type = I4/mmm (139)
E_form = -0.66 eV/atom
M_tot = 0.0 μB per formula unit

No. 2
Entry from the Alexandria database: an optimized crystal structure of Ho2RuRh (PBE).

The structure in POSCAR format:
```
Ho2RuRh
1.0
1.718 0.992 8.075
-1.718 0.992 8.075
0.000 -1.984 8.075
Ho Ru Rh
2 1 1
Cartesian
0.000 0.000 6.059 Ho
0.000 0.000 18.167 Ho
0.000 0.000 0.000 Ru
0.000 0.000 12.113 Rh
```

Properties
Fermi-level density of states = 2.06 states/eV/f.u.
Crystal system = trigonal
V = 83 Å³/f.u.
Space-group type = R-3m (166)
E_form = -0.28 eV/atom
M_tot = 0.0 μB per formula unit

No. 3
Entry from the Alexandria database: an optimized crystal structure of Ho3RuRh (PBE).

The structure in POSCAR format:
```
Ho3RuRh
1.0
3.376 1.949 6.318
-3.376 1.949 6.318
0.000 -3.898 6.318
Ho Ru Rh
6 2 2
Cartesian
-1.032 -1.934 7.877 Ho
-2.191 -0.074 11.078 Ho
-1.159 1.861 7.877 Ho
1.159 -1.861 11.078 Ho
2.191 0.074 7.877 Ho
1.032 1.934 11.078 Ho
0.000 0.000 6.215 Ru
0.000 0.000 12.741 Ru
0.000 0.000 3.245 Rh
0.000 0.000 15.710 Rh
```

Properties
Fermi-level density of states = 2.45 states/eV/f.u.
Crystal system = trigonal
V = 125 Å³/f.u.
Space-group type = R-3 (148)
E_form = -0.46 eV/atom
M_tot = 0.0 μB per formula unit

No. 4
Entry from the Alexandria database: an optimized crystal structure of Ho6RuRh (PBE).

The structure in POSCAR format:
```
Ho6RuRh
1.0
3.339 -5.425 0.000
3.339 5.425 0.000
-2.058 0.000 6.353
Ho Ru Rh
6 1 1
Cartesian
1.128 1.880 1.569 Ho
0.133 0.000 4.784 Ho
1.128 -1.880 1.569 Ho
3.491 1.880 4.784 Ho
4.486 0.000 1.568 Ho
3.491 -1.880 4.784 Ho
0.000 0.000 0.000 Ru
2.310 0.000 3.176 Rh
```

Properties
Fermi-level density of states = 7.58 states/eV/f.u.
Crystal system = monoclinic
V = 230 Å³/f.u.
Space-group type = C2/m (12)
E_form = -0.31 eV/atom
M_tot = 0.0 μB per formula unit

No. 5
Entry from the Alexandria database: an optimized crystal structure of Ho5Ru4Rh (PBE).

The structure in POSCAR format:
```
Ho5Ru4Rh
1.0
3.390 0.000 0.000
0.000 3.390 0.000
0.000 0.000 16.939
Ho Ru Rh
5 4 1
Cartesian
0.000 0.000 0.000 Ho
0.000 0.000 3.374 Ho
0.000 0.000 6.729 Ho
0.000 0.000 10.210 Ho
0.000 0.000 13.565 Ho
1.695 1.695 1.688 Ru
1.695 1.695 5.092 Ru
1.695 1.695 11.847 Ru
1.695 1.695 15.251 Ru
1.695 1.695 8.470 Rh
```

Properties
Fermi-level density of states = 8.84 states/eV/f.u.
Crystal system = tetragonal
V = 195 Å³/f.u.
Space-group type = P4/mmm (123)
E_form = -0.48 eV/atom
M_tot = 0.0 μB per formula unit

No. 6
Entry from the Alexandria database: an optimized crystal structure of Ho6RuRh5 (PBE).

The structure in POSCAR format:
```
Ho6RuRh5
1.0
2.411 -7.242 0.000
2.411 7.242 0.000
0.000 0.000 6.778
Ho Ru Rh
6 1 5
Cartesian
0.000 0.000 1.683 Ho
0.000 0.000 5.095 Ho
2.411 2.401 1.687 Ho
2.411 2.401 5.090 Ho
2.411 -2.401 1.687 Ho
2.411 -2.401 5.090 Ho
2.411 0.000 0.000 Ru
2.411 4.826 0.000 Rh
2.411 4.817 3.389 Rh
2.411 0.000 3.389 Rh
2.411 -4.826 0.000 Rh
2.411 -4.817 3.389 Rh
```

Properties
Fermi-level density of states = 4.55 states/eV/f.u.
Crystal system = orthorhombic
V = 237 Å³/f.u.
Space-group type = Cmmm (65)
E_form = -0.83 eV/atom
M_tot = 0.0 μB per formula unit